! Tl2InPtCl PBE optimized geometry; values from VASP
! - SG = No. 123
! - E (eV per cell) = -17.7
&SYSTEM
  ibrav = 0, nat = 5, ntyp = 4
/
ATOMIC_SPECIES
Tl 204.38 Tl.upf
In 114.82 In.upf
Pt 195.08 Pt.upf
Cl 35.45 Cl.upf
CELL_PARAMETERS angstrom
5.3636 0.0000 0.0000
0.0000 5.3636 0.0000
0.0000 0.0000 5.2321
ATOMIC_POSITIONS crystal
Tl 0.0000 0.5000 0.0000
Tl 0.5000 0.0000 0.0000
In 0.0000 0.0000 0.5000
Pt 0.0000 0.0000 0.0000
Cl 0.5000 0.5000 0.5000